Compound: LaMoPb
Source: Alexandria via LeMat-Bulk
Functional: PBE-GGA
Structure: relaxed

## Properties
The calculation puts the formation energy at 0.383 eV per atom. The calculation puts the final energy at -6.106 eV/atom. Its density of states at the Fermi level is 3.43 states/eV per cell.

Cell lengths 4.988, 4.988, 3.735 Å; angles 90.00, 90.00, 120.00 degrees
Each line ends with the local moment (μB).
Fractional positions:
La1 0.000 0.000 0.000  0.13
Pb1 0.667 0.333 0.500  -0.03
Mo1 0.333 0.667 0.501  1.88

---

Compound: AlTlAsBr2
Source: Alexandria via LeMat-Bulk
Functional: PBE-GGA
Structure: relaxed

## Properties
As for the formation energy from raw total energies: 308 meV per atom. The calculation puts the final energy at -2.513 eV/atom. Its density of states at the Fermi level is 1.10 states/eV per cell.

Cell lengths 5.934, 5.934, 5.445 Å; angles 90.00, 90.00, 90.00 degrees
Each line ends with the local moment (μB).
Fractional positions:
Br1 0.500 0.000 0.000  0.08
Tl1 0.000 0.000 0.000  0.01
As1 0.000 0.000 0.500  0.68
Br2 0.000 0.500 0.000  0.08
Al1 0.500 0.500 0.500  0.01

---

Compound: PuTiBi2
Source: Alexandria via LeMat-Bulk
Functional: PBE-GGA
Structure: relaxed

## Properties
The calculation puts the formation energy at -0.103 eV per atom. The calculation puts the final energy at -7.600 eV/atom. Its density of states at the Fermi level is 9.73 states/eV per cell.

Cell lengths 5.270, 5.270, 5.270 Å; angles 60.00, 60.00, 60.00 degrees
Each line ends with the local moment (μB).
Fractional positions:
Bi1 0.250 0.250 0.250  -0.07
Bi2 0.750 0.750 0.750  -0.07
Ti1 0.500 0.500 0.500  0.89
Pu1 0.000 0.000 0.000  5.44

---

Compound: LiTcPb2
Source: Alexandria via LeMat-Bulk
Functional: PBE-GGA
Structure: relaxed

## Properties
The calculation puts the formation energy at 0.510 eV per atom. The calculation puts the final energy at -4.415 eV/atom. Its density of states at the Fermi level is 3.36 states/eV per cell.

Cell lengths 10.619, 10.619, 10.619 Å; angles 17.28, 17.28, 17.28 degrees
Each line ends with the local moment (μB).
Fractional positions:
Pb1 0.011 0.011 0.011  0.00
Pb2 0.232 0.232 0.232  0.00
Li1 0.762 0.762 0.762  0.00
Tc1 0.495 0.495 0.495  0.22

---

Compound: ZnCr2Tc
Source: Alexandria via LeMat-Bulk
Functional: PBE-GGA
Structure: relaxed

## Properties
The calculation puts the formation energy at 0.203 eV per atom. The calculation puts the final energy at -7.519 eV/atom. Its density of states at the Fermi level is 2.55 states/eV per cell.

Cell lengths 4.192, 4.192, 3.053 Å; angles 90.00, 90.00, 90.00 degrees
Each line ends with the local moment (μB).
Fractional positions:
Tc1 0.500 0.000 0.500  -0.67
Cr1 0.500 0.500 0.000  1.82
Cr2 0.000 0.000 0.000  1.82
Zn1 0.000 0.500 0.500  0.00

---

Compound: PaGaSiO
Source: Alexandria via LeMat-Bulk
Functional: PBE-GGA
Structure: relaxed

## Properties
As for the formation energy from raw total energies: -1284 meV per atom. The calculation puts the final energy at -7.010 eV/atom. Its density of states at the Fermi level is 9.33 states/eV per cell.

Cell lengths 4.187, 4.187, 7.300 Å; angles 90.00, 90.00, 90.00 degrees
Each line ends with the local moment (μB).
Fractional positions:
Pa1 0.000 0.500 0.335  0.67
O1 0.500 0.500 0.500  -0.02
Ga1 0.000 0.500 0.818  0.00
Si1 0.000 0.000 0.000  -0.01
Pa2 0.500 0.000 0.665  0.67
O2 0.000 0.000 0.500  -0.02
Si2 0.500 0.500 0.000  -0.01
Ga2 0.500 0.000 0.182  0.00

---

Compound: K2BaAu2I6
Source: Alexandria via LeMat-Bulk
Functional: PBE-GGA
Structure: relaxed

## Properties
As for the formation energy from raw total energies: -973 meV per atom. The calculation puts the final energy at -2.789 eV/atom. Its density of states at the Fermi level is 0.00 states/eV per cell.

Cell lengths 8.871, 7.408, 10.226 Å; angles 104.43, 90.00, 126.78 degrees
Fractional positions:
I1 0.785 0.570 0.491
I2 0.657 0.874 0.191
I3 0.217 0.874 0.191
Au1 0.014 0.027 0.275
Ba1 0.500 0.000 0.500
Au2 0.986 0.973 0.725
K1 0.304 0.609 0.866
I4 0.215 0.430 0.509
K2 0.696 0.391 0.134
I5 0.783 0.126 0.809
I6 0.343 0.126 0.809

---

Compound: Ce4TcRu3
Source: Alexandria via LeMat-Bulk
Functional: PBE-GGA
Structure: relaxed

## Properties
The calculation puts the formation energy at -0.244 eV per atom. The calculation puts the final energy at -7.985 eV/atom. Its density of states at the Fermi level is 26.43 states/eV per cell.

Cell lengths 5.696, 8.034, 8.034 Å; angles 82.78, 69.24, 69.24 degrees
Fractional positions:
Ru1 0.843 0.500 0.814
Ru2 0.157 0.500 0.186
Ce1 0.731 0.845 0.692
Ru3 0.657 0.186 0.500
Ce2 0.923 0.845 0.308
Ru4 0.750 0.000 0.000
Ce3 0.423 0.308 0.845
Tc1 0.250 0.500 0.500
Ce4 0.231 0.692 0.845
Tc2 0.750 0.500 0.500
Ce5 0.269 0.155 0.308
Ce6 0.577 0.692 0.155
Ce7 0.769 0.308 0.155
Ru5 0.250 0.000 0.000
Ce8 0.077 0.155 0.692
Ru6 0.343 0.814 0.500

---

Compound: LiNiCl2
Source: Alexandria via LeMat-Bulk
Functional: PBE-GGA
Structure: relaxed

## Properties
As for the formation energy from raw total energies: 58 meV per atom. The calculation puts the final energy at -2.789 eV/atom. Its density of states at the Fermi level is 7.97 states/eV per cell.

Cell lengths 4.681, 4.681, 4.681 Å; angles 60.00, 60.00, 60.00 degrees
Each line ends with the local moment (μB).
Fractional positions:
Cl1 0.000 0.000 0.000  0.02
Li1 0.500 0.500 0.500  -0.01
Cl2 0.250 0.250 0.250  0.06
Ni1 0.750 0.750 0.750  0.92

---

Compound: Tb2Y3Ru2
Source: Alexandria via LeMat-Bulk
Functional: PBE-GGA
Structure: relaxed

## Properties
The calculation puts the formation energy at -0.309 eV per atom. The calculation puts the final energy at -7.053 eV/atom. Its density of states at the Fermi level is 5.51 states/eV per cell.

Cell lengths 3.878, 6.307, 8.564 Å; angles 112.41, 90.00, 107.91 degrees
Fractional positions:
Ru1 0.180 0.360 0.221
Tb1 0.834 0.668 0.190
Y1 0.621 0.243 0.428
Ru2 0.820 0.640 0.779
Y2 0.500 0.000 0.000
Y3 0.379 0.757 0.572
Tb2 0.166 0.332 0.810

---

Compound: Nd4HoAs5
Source: Alexandria via LeMat-Bulk
Functional: PBE-GGA
Structure: relaxed

## Properties
The calculation puts the formation energy at -1.508 eV per atom. The calculation puts the final energy at -6.197 eV/atom. Its density of states at the Fermi level is 0.65 states/eV per cell.

Cell lengths 6.000, 7.345, 7.345 Å; angles 80.40, 65.89, 65.89 degrees
Fractional positions:
Nd1 0.201 0.201 0.398
As1 0.296 0.804 0.607
Nd2 0.599 0.602 0.201
As2 0.099 0.607 0.196
Nd3 0.402 0.398 0.799
As3 0.706 0.196 0.393
Nd4 0.801 0.799 0.602
As4 0.903 0.393 0.804
Ho1 0.001 0.000 0.000
As5 0.501 0.000 0.000

---

Compound: RbGaGe
Source: Alexandria via LeMat-Bulk
Functional: PBE-GGA
Structure: relaxed

## Properties
The calculation puts the formation energy at 0.063 eV per atom. The calculation puts the final energy at -2.807 eV/atom. Its density of states at the Fermi level is 0.25 states/eV per cell.

Cell lengths 7.096, 6.190, 4.479 Å; angles 90.00, 90.00, 90.00 degrees
Fractional positions:
Ge1 0.750 0.500 0.118
Rb1 0.750 0.000 0.738
Ge2 0.250 0.500 0.882
Ga1 0.000 0.500 0.500
Rb2 0.250 0.000 0.262
Ga2 0.500 0.500 0.500

---

Please write out number 12 again, unchanged.
Compound: RbGaGe
Source: Alexandria via LeMat-Bulk
Functional: PBE-GGA
Structure: relaxed

## Properties
The calculation puts the formation energy at 0.063 eV per atom. The calculation puts the final energy at -2.807 eV/atom. Its density of states at the Fermi level is 0.25 states/eV per cell.

Cell lengths 7.096, 6.190, 4.479 Å; angles 90.00, 90.00, 90.00 degrees
Fractional positions:
Ge1 0.750 0.500 0.118
Rb1 0.750 0.000 0.738
Ge2 0.250 0.500 0.882
Ga1 0.000 0.500 0.500
Rb2 0.250 0.000 0.262
Ga2 0.500 0.500 0.500

---

Look up the final energy of the twelfth one. -2.807 eV/atom

---

Look up the final energy of the seventh one. -2.789 eV/atom

---

The highest final energy belongs to which entry? AlTlAsBr2